DFT (PBE) results for a relaxed ErAlSiIr2 crystal. Values from VASP.

Quantum ESPRESSO input file:
```
&SYSTEM
  ibrav = 0, nat = 10, ntyp = 4
/
ATOMIC_SPECIES
Er 167.26 Er.upf
Al 26.98 Al.upf
Si 28.09 Si.upf
Ir 192.22 Ir.upf
CELL_PARAMETERS angstrom
2.1166 -6.2594 0.0000
2.1166 6.2594 0.0000
0.0000 0.0000 7.0037
ATOMIC_POSITIONS crystal
Er 0.1087 0.8913 0.7500
Er 0.8913 0.1087 0.2500
Al 0.1968 0.8032 0.2500
Al 0.8032 0.1968 0.7500
Si 0.5000 0.5000 0.0000
Si 0.5000 0.5000 0.5000
Ir 0.3236 0.6764 0.5427
Ir 0.3236 0.6764 0.9573
Ir 0.6764 0.3236 0.0427
Ir 0.6764 0.3236 0.4573
```

Computed properties:
Crystal system ... orthorhombic
Raw total energy ... -0.2563 Ha/atom



DFT (PBE) results for a relaxed TbErAlIr crystal. Values from VASP.

Quantum ESPRESSO input file:
```
&SYSTEM
  ibrav = 0, nat = 16, ntyp = 4
/
ATOMIC_SPECIES
Tb 158.93 Tb.upf
Er 167.26 Er.upf
Al 26.98 Al.upf
Ir 192.22 Ir.upf
CELL_PARAMETERS angstrom
7.0162 0.0000 0.0000
0.0000 7.0162 0.0000
0.0000 0.0000 7.0162
ATOMIC_POSITIONS crystal
Tb 0.0000 0.0000 0.0000
Tb 0.0000 0.5000 0.5000
Tb 0.5000 0.0000 0.5000
Tb 0.5000 0.5000 0.0000
Er 0.0000 0.0000 0.5000
Er 0.0000 0.5000 0.0000
Er 0.5000 0.0000 0.0000
Er 0.5000 0.5000 0.5000
Al 0.2500 0.2500 0.2500
Al 0.2500 0.7500 0.7500
Al 0.7500 0.2500 0.7500
Al 0.7500 0.7500 0.2500
Ir 0.2500 0.2500 0.7500
Ir 0.2500 0.7500 0.2500
Ir 0.7500 0.2500 0.2500
Ir 0.7500 0.7500 0.7500
```

Computed properties:
Crystal system ... cubic
Formation energy ... -571 meV per atom



DFT (PBE) results for a relaxed ErTi2AlIr4 crystal. Values from VASP.

Quantum ESPRESSO input file:
```
&SYSTEM
  ibrav = 0, nat = 8, ntyp = 4
/
ATOMIC_SPECIES
Er 167.26 Er.upf
Ti 47.87 Ti.upf
Al 26.98 Al.upf
Ir 192.22 Ir.upf
CELL_PARAMETERS angstrom
2.1937 1.2665 7.7772
-2.1937 1.2665 7.7772
0.0000 -2.5330 7.7772
ATOMIC_POSITIONS crystal
Er 0.0000 0.0000 0.0000
Ti 0.2440 0.2440 0.2440
Ti 0.7560 0.7560 0.7560
Al 0.5000 0.5000 0.5000
Ir 0.1297 0.1297 0.1297
Ir 0.3922 0.3922 0.3922
Ir 0.6078 0.6078 0.6078
Ir 0.8703 0.8703 0.8703
```

Computed properties:
Crystal system ... trigonal
Formation energy ... -814 meV per atom



DFT (PBE) results for a relaxed ErTmAlIr crystal. Values from VASP.

Quantum ESPRESSO input file:
```
&SYSTEM
  ibrav = 0, nat = 16, ntyp = 4
/
ATOMIC_SPECIES
Er 167.26 Er.upf
Tm 168.93 Tm.upf
Al 26.98 Al.upf
Ir 192.22 Ir.upf
CELL_PARAMETERS angstrom
6.9509 0.0000 0.0000
0.0000 6.9509 0.0000
0.0000 0.0000 6.9509
ATOMIC_POSITIONS crystal
Er 0.0000 0.0000 0.0000
Er 0.0000 0.5000 0.5000
Er 0.5000 0.0000 0.5000
Er 0.5000 0.5000 0.0000
Tm 0.0000 0.0000 0.5000
Tm 0.0000 0.5000 0.0000
Tm 0.5000 0.0000 0.0000
Tm 0.5000 0.5000 0.5000
Al 0.2500 0.2500 0.7500
Al 0.2500 0.7500 0.2500
Al 0.7500 0.2500 0.2500
Al 0.7500 0.7500 0.7500
Ir 0.2500 0.2500 0.2500
Ir 0.2500 0.7500 0.7500
Ir 0.7500 0.2500 0.7500
Ir 0.7500 0.7500 0.2500
```

Computed properties:
Crystal system ... cubic
Formation energy ... -615 meV per atom



DFT (PBE) results for a relaxed ErAlZnIr crystal. Values from VASP.

Quantum ESPRESSO input file:
```
&SYSTEM
  ibrav = 0, nat = 16, ntyp = 4
/
ATOMIC_SPECIES
Er 167.26 Er.upf
Al 26.98 Al.upf
Zn 65.41 Zn.upf
Ir 192.22 Ir.upf
CELL_PARAMETERS angstrom
6.5248 0.0000 0.0000
0.0000 6.5248 0.0000
0.0000 0.0000 6.5248
ATOMIC_POSITIONS crystal
Er 0.0000 0.0000 0.0000
Er 0.0000 0.5000 0.5000
Er 0.5000 0.0000 0.5000
Er 0.5000 0.5000 0.0000
Al 0.0000 0.0000 0.5000
Al 0.0000 0.5000 0.0000
Al 0.5000 0.0000 0.0000
Al 0.5000 0.5000 0.5000
Zn 0.2500 0.2500 0.2500
Zn 0.2500 0.7500 0.7500
Zn 0.7500 0.2500 0.7500
Zn 0.7500 0.7500 0.2500
Ir 0.2500 0.2500 0.7500
Ir 0.2500 0.7500 0.2500
Ir 0.7500 0.2500 0.2500
Ir 0.7500 0.7500 0.7500
```

Computed properties:
Crystal system ... cubic
Formation energy ... -539 meV per atom



DFT (PBE) results for a relaxed K3Er3AlO8 crystal. Values from VASP.

Quantum ESPRESSO input file:
```
&SYSTEM
  ibrav = 0, nat = 15, ntyp = 4
/
ATOMIC_SPECIES
K 39.10 K.upf
Er 167.26 Er.upf
Al 26.98 Al.upf
O 16.00 O.upf
CELL_PARAMETERS angstrom
3.3293 1.9222 6.2710
-3.3293 1.9222 6.2710
0.0000 -3.8444 6.2710
ATOMIC_POSITIONS crystal
K 0.0000 0.5000 0.5000
K 0.5000 0.0000 0.5000
K 0.5000 0.5000 0.0000
Er 0.0000 0.0000 0.5000
Er 0.0000 0.5000 0.0000
Er 0.5000 0.0000 0.0000
Al 0.5000 0.5000 0.5000
O 0.2275 0.2275 0.2275
O 0.2569 0.7051 0.7051
O 0.2949 0.2949 0.7431
O 0.2949 0.7431 0.2949
O 0.7051 0.2569 0.7051
O 0.7051 0.7051 0.2569
O 0.7431 0.2949 0.2949
O 0.7725 0.7725 0.7725
```

Computed properties:
Crystal system ... trigonal
Raw total energy ... -0.2444 Ha/atom



DFT (PBE) results for a relaxed K2ErAlO4 crystal. Values from VASP.

Quantum ESPRESSO input file:
```
&SYSTEM
  ibrav = 0, nat = 16, ntyp = 4
/
ATOMIC_SPECIES
K 39.10 K.upf
Er 167.26 Er.upf
Al 26.98 Al.upf
O 16.00 O.upf
CELL_PARAMETERS angstrom
5.7776 0.0000 0.0000
0.0000 5.7776 0.0000
0.0000 0.0000 8.5090
ATOMIC_POSITIONS crystal
K 0.0000 0.0000 0.0000
K 0.0000 0.5000 0.2500
K 0.5000 0.0000 0.7500
K 0.5000 0.5000 0.5000
Er 0.0000 0.0000 0.5000
Er 0.5000 0.5000 0.0000
Al 0.0000 0.5000 0.7500
Al 0.5000 0.0000 0.2500
O 0.1343 0.7227 0.6347
O 0.2227 0.3657 0.8653
O 0.2773 0.1343 0.3653
O 0.3657 0.7773 0.1347
O 0.6343 0.2227 0.1347
O 0.7227 0.8657 0.3653
O 0.7773 0.6343 0.8653
O 0.8657 0.2773 0.6347
```

Computed properties:
Crystal system ... tetragonal
Raw total energy ... -0.2349 Ha/atom



DFT (PBE) results for a relaxed K4Er3AlS8 crystal. Values from VASP.

Quantum ESPRESSO input file:
```
&SYSTEM
  ibrav = 0, nat = 16, ntyp = 4
/
ATOMIC_SPECIES
K 39.10 K.upf
Er 167.26 Er.upf
Al 26.98 Al.upf
S 32.06 S.upf
CELL_PARAMETERS angstrom
3.9367 2.2729 7.3468
-3.9367 2.2729 7.3468
0.0000 -4.5457 7.3468
ATOMIC_POSITIONS crystal
K 0.0000 0.0000 0.0000
K 0.0000 0.5000 0.5000
K 0.5000 0.0000 0.5000
K 0.5000 0.5000 0.0000
Er 0.0000 0.0000 0.5000
Er 0.0000 0.5000 0.0000
Er 0.5000 0.0000 0.0000
Al 0.5000 0.5000 0.5000
S 0.2341 0.2341 0.2341
S 0.2516 0.7203 0.7203
S 0.2797 0.2797 0.7484
S 0.2797 0.7484 0.2797
S 0.7203 0.2516 0.7203
S 0.7203 0.7203 0.2516
S 0.7484 0.2797 0.2797
S 0.7659 0.7659 0.7659
```

Computed properties:
Crystal system ... trigonal
Raw total energy ... -0.1872 Ha/atom



no.,V (Å³ per atom),total magnetic moment (μB/cell),D(E_F) (states/eV/cell)
1,18.56,0.0,5.21
2,21.59,0.0,13.28
3,16.21,0.0,7.53
4,20.99,0.0,11.86
5,17.36,0.0,11.24
6,16.05,1.1,10.61
7,17.75,0.0,0.00
8,24.65,0.0,0.00